## ScTe3 (PBE-GGA)

Data for ScTe3 after structural relaxation.

Computed properties:
- total moment (μB per cell) = 0.005
- formation energy (no corrections) (eV per formula unit) = -1.73
- energy (eV per atom) = -4.371
- Fermi-level density of states (states/eV per atom) = 0.737
- symmetry = P4/mmm

The structure in CIF format:
```
data_ScTe3
_chemical_formula_sum 'Sc1 Te3'
_cell_length_a 4.393
_cell_length_b 6.191
_cell_length_c 4.400
_cell_angle_alpha 90.00
_cell_angle_beta 90.00
_cell_angle_gamma 90.00
_space_group_name_H-M_alt 'P 1'
_space_group_IT_number 1
_space_group_name_Hall 'P 1'
loop_
_atom_site_label
_atom_site_type_symbol
_atom_site_fract_x
_atom_site_fract_y
_atom_site_fract_z
_atom_site_occupancy
Te1 Te 0.000 0.500 0.167 1
Te2 Te 0.500 0.500 0.667 1
Te3 Te 0.500 0.000 0.666 1
Sc1 Sc 0.000 0.000 0.166 1
```